[1]
! ZnTeBr2 (GGA-PBE, relaxed); values from VASP
! - formation energy (no corrections) (kcal/mol of atoms) = 6.507
! - D(E_F) (states/eV per cell) = 3.2
! - space-group type = Cmmm
! - E (eV for the cell shown) = -6.63
&SYSTEM
  ibrav = 0, nat = 4, ntyp = 3
/
ATOMIC_SPECIES
Br 79.90 Br.upf
Te 127.60 Te.upf
Zn 65.41 Zn.upf
CELL_PARAMETERS angstrom
-3.103 4.513 0.399
-3.612 -3.945 1.246
0.847 0.285 3.359
ATOMIC_POSITIONS crystal
Br 0.000 0.000 0.000
Br 0.500 0.500 0.000
Te 0.500 0.000 0.500
Zn 0.000 0.500 0.500

---

[2]
! ZnTe2Br (GGA-PBE, relaxed); values from VASP
! - formation energy (no corrections) (kcal/mol of atoms) = 3.769
! - D(E_F) (states/eV per cell) = 2.3
! - energy relative to the lowest polymorph listed for this composition (eV per atom) = 0.394
! - space-group type = Cmmm
! - E (eV for the cell shown) = -8.58
&SYSTEM
  ibrav = 0, nat = 4, ntyp = 3
/
ATOMIC_SPECIES
Br 79.90 Br.upf
Te 127.60 Te.upf
Zn 65.41 Zn.upf
CELL_PARAMETERS angstrom
8.018 0.000 0.000
-5.774 5.564 0.000
0.000 0.000 2.925
ATOMIC_POSITIONS crystal
Br 0.000 0.500 0.500
Te 0.000 0.000 0.000
Te 0.500 0.500 0.000
Zn 0.500 0.000 0.500

---

[3]
! ZnTeBr2 (GGA-PBE, relaxed); values from VASP
! - formation energy (no corrections) (kcal/mol of atoms) = 0.547
! - D(E_F) (states/eV per cell) = 2.3
! - space-group type = P4mm
! - E (eV for the cell shown) = -7.67
&SYSTEM
  ibrav = 0, nat = 4, ntyp = 3
/
ATOMIC_SPECIES
Br 79.90 Br.upf
Te 127.60 Te.upf
Zn 65.41 Zn.upf
CELL_PARAMETERS angstrom
-2.103 -2.644 1.078
2.809 -2.155 0.197
1.236 2.361 8.203
ATOMIC_POSITIONS crystal
Br 0.000 0.000 0.913
Br 0.500 0.500 0.308
Te 0.000 0.000 0.531
Zn 0.500 0.500 0.747

---

[4]
! ZnTeBr2 (GGA-PBE, relaxed); values from VASP
! - formation energy (no corrections) (kcal/mol of atoms) = -1.501
! - D(E_F) (states/eV per cell) = 1.9
! - space-group type = P4/mmm
! - E (eV for the cell shown) = -8.02
&SYSTEM
  ibrav = 0, nat = 4, ntyp = 3
/
ATOMIC_SPECIES
Br 79.90 Br.upf
Te 127.60 Te.upf
Zn 65.41 Zn.upf
CELL_PARAMETERS angstrom
-2.990 0.829 -1.082
-1.216 -2.801 1.214
-2.167 5.292 10.040
ATOMIC_POSITIONS crystal
Br 0.000 0.000 0.891
Br 0.000 0.000 0.609
Te 0.500 0.500 0.250
Zn 0.500 0.500 0.750

---

[5]
! Zn2Te2Br (GGA-PBE, relaxed); values from VASP
! - formation energy (no corrections) (kcal/mol of atoms) = 1.180
! - D(E_F) (states/eV per cell) = 8.1
! - energy relative to the lowest polymorph listed for this composition (eV per atom) = 0.044
! - space-group type = P4/mbm
! - E (eV for the cell shown) = -20.50
&SYSTEM
  ibrav = 0, nat = 10, ntyp = 3
/
ATOMIC_SPECIES
Zn 65.41 Zn.upf
Te 127.60 Te.upf
Br 79.90 Br.upf
CELL_PARAMETERS angstrom
-6.324 -4.053 -3.598
-3.408 -1.324 7.483
-1.744 2.960 -0.270
ATOMIC_POSITIONS crystal
Zn 0.344 0.844 0.000
Zn 0.844 0.656 0.000
Zn 0.656 0.156 0.000
Zn 0.156 0.344 0.000
Te 0.146 0.646 0.500
Te 0.646 0.854 0.500
Te 0.854 0.354 0.500
Te 0.354 0.146 0.500
Br 0.000 0.000 0.000
Br 0.500 0.500 0.000

---

[6]
! ZnTe2Br (GGA-PBE, relaxed); values from VASP
! - formation energy (no corrections) (kcal/mol of atoms) = 5.980
! - D(E_F) (states/eV per cell) = 3.3
! - energy relative to the lowest polymorph listed for this composition (eV per atom) = 0.490
! - space-group type = I-4m2
! - E (eV for the cell shown) = -8.19
&SYSTEM
  ibrav = 0, nat = 4, ntyp = 3
/
ATOMIC_SPECIES
Br 79.90 Br.upf
Te 127.60 Te.upf
Zn 65.41 Zn.upf
CELL_PARAMETERS angstrom
5.286 -0.001 0.000
0.028 5.286 0.000
-2.657 -2.642 3.728
ATOMIC_POSITIONS crystal
Br 0.750 0.250 0.500
Te 0.000 0.000 0.000
Te 0.250 0.750 0.500
Zn 0.500 0.500 0.000

---

[7]
! ZnTeBr2 (GGA-PBE, relaxed); values from VASP
! - formation energy (no corrections) (kcal/mol of atoms) = 8.524
! - D(E_F) (states/eV per cell) = 5.3
! - space-group type = I4/mmm
! - E (eV for the cell shown) = -6.28
&SYSTEM
  ibrav = 0, nat = 4, ntyp = 3
/
ATOMIC_SPECIES
Br 79.90 Br.upf
Te 127.60 Te.upf
Zn 65.41 Zn.upf
CELL_PARAMETERS angstrom
5.612 -0.058 0.000
1.552 5.393 0.000
-3.582 -2.668 3.398
ATOMIC_POSITIONS crystal
Br 0.000 0.000 0.000
Br 0.500 0.500 0.000
Te 0.250 0.750 0.500
Zn 0.750 0.250 0.500

---

[8]
! ZnTeBr2 (GGA-PBE, relaxed); values from VASP
! - formation energy (no corrections) (kcal/mol of atoms) = -3.809
! - D(E_F) (states/eV per cell) = 2.9
! - space-group type = Cmmm
! - E (eV for the cell shown) = -8.42
&SYSTEM
  ibrav = 0, nat = 4, ntyp = 3
/
ATOMIC_SPECIES
Br 79.90 Br.upf
Te 127.60 Te.upf
Zn 65.41 Zn.upf
CELL_PARAMETERS angstrom
3.500 0.000 0.000
0.000 5.811 0.008
0.000 1.789 5.526
ATOMIC_POSITIONS crystal
Br 0.000 0.942 0.942
Br 0.000 0.558 0.558
Te 0.500 0.250 0.250
Zn 0.500 0.750 0.750

---

[9]
! ZnTeBr2 (GGA-PBE, relaxed); values from VASP
! - formation energy (no corrections) (kcal/mol of atoms) = 6.992
! - D(E_F) (states/eV per cell) = 5.5
! - space-group type = F-43m
! - E (eV for the cell shown) = -6.55
&SYSTEM
  ibrav = 0, nat = 4, ntyp = 3
/
ATOMIC_SPECIES
Br 79.90 Br.upf
Te 127.60 Te.upf
Zn 65.41 Zn.upf
CELL_PARAMETERS angstrom
-3.461 1.506 3.596
-5.038 0.461 -1.262
-3.477 -3.410 1.862
ATOMIC_POSITIONS crystal
Br 0.000 0.000 0.000
Br 0.750 0.750 0.750
Te 0.500 0.500 0.500
Zn 0.250 0.250 0.250

---

[10]
! ZnTe2Br (GGA-PBE, relaxed); values from VASP
! - formation energy (no corrections) (kcal/mol of atoms) = 4.117
! - D(E_F) (states/eV per cell) = 2.4
! - energy relative to the lowest polymorph listed for this composition (eV per atom) = 0.409
! - space-group type = R-3m
! - E (eV for the cell shown) = -8.52
&SYSTEM
  ibrav = 0, nat = 4, ntyp = 3
/
ATOMIC_SPECIES
Zn 65.41 Zn.upf
Te 127.60 Te.upf
Br 79.90 Br.upf
CELL_PARAMETERS angstrom
1.976 0.000 10.976
-0.988 1.711 10.976
-0.988 -1.711 10.976
ATOMIC_POSITIONS crystal
Zn 0.000 0.000 0.000
Te 0.922 0.922 0.922
Te 0.078 0.078 0.078
Br 0.500 0.500 0.500

---

[11]
! ZnTeBr2 (GGA-PBE, relaxed); values from VASP
! - formation energy (no corrections) (kcal/mol of atoms) = -8.365
! - space-group type = Pm
! - E (eV for the cell shown) = -9.21
&SYSTEM
  ibrav = 0, nat = 4, ntyp = 3
/
ATOMIC_SPECIES
Br 79.90 Br.upf
Te 127.60 Te.upf
Zn 65.41 Zn.upf
CELL_PARAMETERS angstrom
4.362 0.000 0.000
0.000 7.158 -0.024
0.000 4.870 4.862
ATOMIC_POSITIONS crystal
Br 0.000 0.061 0.932
Br 0.500 0.316 0.244
Te 0.000 0.577 0.539
Zn 0.500 0.546 0.784

---

[12]
! Zr2ZnTeBr (GGA-PBE, relaxed); values from VASP
! - formation energy (no corrections) (kcal/mol of atoms) = 11.248
! - D(E_F) (states/eV per cell) = 4.4
! - space-group type = P4/mmm
! - E (eV for the cell shown) = -20.75
&SYSTEM
  ibrav = 0, nat = 5, ntyp = 4
/
ATOMIC_SPECIES
Zn 65.41 Zn.upf
Te 127.60 Te.upf
Br 79.90 Br.upf
Zr 91.22 Zr.upf
CELL_PARAMETERS angstrom
5.080 0.000 0.000
0.000 4.843 0.000
0.000 0.000 5.080
ATOMIC_POSITIONS crystal
Zn 0.000 0.500 0.000
Te 0.500 0.500 0.500
Br 0.000 0.000 0.000
Zr 0.000 0.000 0.500
Zr 0.500 0.000 0.000